An optimized crystal structure of CrIn2Mo. Source: Alexandria via LeMat-Bulk, functional PBE-GGA.

The structure belongs to space group Cmmm (No. 65); the cell edges are 5.9747, 8.3212 and 2.9639 Å and the angles 90.00°, 90.00° and 90.00°. The asymmetric unit holds Cr at (0.0000, 0.0000, 0.0000), In at (0.2500, 0.2500, 0.5000) and Mo at (0.0000, 0.5000, 0.0000).

Its density is 8.51 g/cm³. The calculated formation energy comes out at 10.3 kcal/mol of atoms.

=====

An optimized crystal structure of LiCaHfP2. Source: Alexandria via LeMat-Bulk, functional PBE-GGA.

The structure belongs to space group P4/mmm (No. 123); the cell edges are 5.0024, 5.0024 and 4.0213 Å and the angles 90.00°, 90.00° and 90.00°. The asymmetric unit holds Li at (0.0000, 0.0000, 0.0000), Ca at (0.0000, 0.0000, 0.5000), Hf at (0.5000, 0.5000, 0.0000) and P at (0.0000, 0.5000, 0.5000).

Its density is 4.74 g/cm³. The calculated formation energy comes out at 14.4 kcal/mol of atoms.

=====

An optimized crystal structure of CeTh2Ni. Source: Alexandria via LeMat-Bulk, functional PBE-GGA.

The structure belongs to space group Pnma (No. 62); the cell edges are 7.0121, 9.6346 and 6.2703 Å and the angles 90.00°, 90.00° and 90.00°. The asymmetric unit holds Ce at (0.0492, 0.2500, 0.1531), Th at (0.1832, 0.0630, 0.6366) and Ni at (0.1178, 0.7500, 0.4084).

Its density is 10.39 g/cm³. The calculated formation energy comes out at -3.8 kcal/mol of atoms.

=====

Question: Number 3 is which compound?
Answer: CeTh2Ni

=====

Question: Number 3 is which compound?
Answer: CeTh2Ni

=====

Question: What is the density in the second record?
Answer: 4.74 g/cm³